Material: La3PrRh
Method: DFT, PBE
State: relaxed

```
La3PrRh
1.0
3.704 0.000 0.866
-0.516 9.468 2.224
-0.470 1.258 10.402
La Rh Pr
6 2 2
Direct
0.169 0.001 0.161 La
0.185 0.366 0.130 La
0.366 0.369 0.769 La
0.831 0.999 0.839 La
0.815 0.634 0.870 La
0.634 0.631 0.231 La
0.755 0.215 0.989 Rh
0.245 0.785 0.011 Rh
0.008 0.313 0.485 Pr
0.992 0.687 0.515 Pr
```

Energy (eV per atom): -5.5555
E above lowest polymorph (eV/atom): 0.094
Formation energy (kJ/mol of formula units): -83
DOS(E_F) (states/eV/atom): 1.268